Model one:
Here is Pm2SnBi4 after structural relaxation from Alexandria. Energies are from PBE.

* SG: No. 12
* crystal system: monoclinic
* D(E_F): 4.082 states/eV per cell
* V: 228 Å³/f.u.

Cell: 7.089 7.089 6.730 Å, 121.27 121.27 90.48°
Element x y z (fractional)
Bi 0.286 0.286 0.071
Bi 0.786 0.786 0.072
Bi 0.286 0.786 0.071
Bi 0.786 0.286 0.071
Sn 0.786 0.786 0.571
Pm 0.286 0.786 0.571
Pm 0.786 0.286 0.571


Model two:
Here is Pm2SnBi4 after structural relaxation from Alexandria. Energies are from PBE.

* SG: No. 115
* crystal system: tetragonal
* D(E_F): 2.682 states/eV per cell
* V: 233 Å³/f.u.

Cell: 4.552 4.552 11.225 Å, 90.00 90.00 90.00°
Element x y z (fractional)
Bi 0.500 0.500 0.500
Bi 0.000 0.500 0.803
Bi 0.000 0.000 0.500
Bi 0.500 0.000 0.197
Pm 0.500 0.000 0.726
Pm 0.000 0.500 0.274
Sn 0.500 0.500 0.000


Which structure is the most stable? The one labeled model two.